Here is Ho2Co3C2 after structural relaxation from Alexandria via LeMat-Bulk. Energies are from GGA-PBE.

Summary:
electronic total energy	-7.006	eV/atom
SG	C2/m
formation energy	-1.6	kJ per mole of atoms

The structure in POSCAR format:
```
Ho2Co3C2
1.0
3.2499 0.0000 0.0000
-1.6249 4.6730 -0.2721
0.0000 -2.4888 5.9450
Ho C Co
2 2 3
direct
0.8707 0.7415 0.2242
0.1293 0.2585 0.7758
0.1546 0.3092 0.2406
0.8454 0.6908 0.7594
0.5000 0.0000 0.0000
0.6494 0.2988 0.4117
0.3506 0.7012 0.5883
```